(1)
## CaCuMo2 (PBEsol)

Data for crystalline CaCuMo2 at its relaxed geometry.

a = 5.4828 Å, b = 5.4828 Å, c = 2.5841 Å
α = 90.00°, β = 90.00°, γ = 122.15°
Closest atoms and distances in Å follow each position.
Sites, in units of the cell vectors:
Ca1 0.0000 0.0000 0.0000  2 Ca 2.58, 2 Cu 2.65
Cu1 0.5000 0.5000 0.0000  2 Cu 2.58, 2 Ca 2.65
Mo1 0.0000 0.5000 0.5000  4 Mo 2.58-2.65
Mo2 0.5000 0.0000 0.5000  4 Mo 2.58-2.65

As for the magnetic moment: 0.00 μB/f.u. Its calculated volume is 65.77 Å³/cell. The density comes out at 7.46 Mg/m³. The total energy comes out at -6.7723 eV per atom. The calculation puts the formation energy at 729 meV per atom.

***

(2)
## LaTc2Te (PBEsol)

Data for crystalline LaTc2Te at its relaxed geometry.

a = 3.1569 Å, b = 4.1575 Å, c = 6.5029 Å
α = 90.00°, β = 101.70°, γ = 90.00°
Closest atoms and distances in Å follow each position.
Sites, in units of the cell vectors:
La1 0.0000 0.0000 0.0000  3 Tc 2.78-3.04
Tc1 0.4588 0.0000 0.4128  2 Tc 2.48, 2 Te 2.74, 1 La 2.78
Tc2 0.7797 0.5000 0.3020  2 Tc 2.48, 1 Te 2.72
Te1 0.3588 0.5000 0.6736  4 Tc 2.72-2.98

As for the magnetic moment: 0.00 μB/f.u. Its calculated volume is 83.58 Å³/cell. The density comes out at 9.19 Mg/m³. The total energy comes out at -7.7821 eV per atom. The raw formation energy is 69 meV/atom.

***

(3)
## Li2CaRe (PBEsol)

Data for crystalline Li2CaRe at its relaxed geometry.

a = 5.6267 Å, b = 5.6267 Å, c = 5.6267 Å
α = 152.44°, β = 126.34°, γ = 61.38°
Closest atoms and distances in Å follow each position.
Sites, in units of the cell vectors:
Li1 0.0000 0.0000 0.0000  4 Li 2.51-2.68
Li2 0.7804 0.2804 0.5000  4 Li 2.51-2.68, 2 Re 2.68
Ca1 0.2637 0.7637 0.5000  2 Ca 2.68, 6 Li 2.88, 2 Re 3.00
Re1 0.5405 0.5405 0.0000  6 Li 2.68-2.90, 2 Re 2.68, 2 Ca 3.00

As for the magnetic moment: 0.00 μB/f.u. Its calculated volume is 65.89 Å³/cell. The density comes out at 6.05 Mg/m³. The total energy comes out at -4.2305 eV per atom. The calculation puts the formation energy at 619 meV per atom.

***

(4)
## CdSiW2 (PBEsol)

Data for crystalline CdSiW2 at its relaxed geometry.

a = 2.7467 Å, b = 2.7467 Å, c = 8.8124 Å
α = 90.00°, β = 90.00°, γ = 108.62°
Closest atoms and distances in Å follow each position.
Sites, in units of the cell vectors:
Cd1 0.0000 0.0000 0.0000  4 Cd 2.75, 4 W 2.92
Si1 0.0000 0.0000 0.5000  4 W 2.53, 4 Si 2.75
W1 0.5000 0.5000 0.2774  2 Si 2.53, 4 W 2.75
W2 0.5000 0.5000 0.7226  2 Si 2.53, 4 W 2.75

As for the magnetic moment: 0.00 μB/f.u. Its calculated volume is 63.01 Å³/cell. The density comes out at 13.39 Mg/m³. The total energy comes out at -8.2875 eV per atom. The raw formation energy is 352 meV/atom.

***

(5)
## SrCa3Au (PBEsol)

Data for crystalline SrCa3Au at its relaxed geometry.

a = 5.7628 Å, b = 5.7628 Å, c = 5.7628 Å
α = 90.00°, β = 90.00°, γ = 90.00°
Closest atoms and distances in Å follow each position.
Sites, in units of the cell vectors:
Sr1 0.0000 0.0000 0.0000  12 Ca 4.07
Ca1 0.0000 0.5000 0.5000  2 Au 2.88
Ca2 0.5000 0.0000 0.5000  2 Au 2.88
Ca3 0.5000 0.5000 0.0000  2 Au 2.88
Au1 0.5000 0.5000 0.5000  6 Ca 2.88

As for the magnetic moment: 0.00 μB/f.u. Its calculated volume is 191.38 Å³/cell. The density comes out at 3.51 Mg/m³. The total energy comes out at -2.7530 eV per atom. The calculation puts the formation energy at -320 meV per atom.

***

(6)
## BaBr2Cl (PBEsol)

Data for crystalline BaBr2Cl at its relaxed geometry.

a = 5.4494 Å, b = 5.4494 Å, c = 5.4494 Å
α = 60.00°, β = 60.00°, γ = 60.00°
Closest atoms and distances in Å follow each position.
Sites, in units of the cell vectors:
Ba1 0.0000 0.0000 0.0000  4 Br 3.34, 4 Cl 3.34
Br1 0.5000 0.5000 0.5000  4 Cl 3.34, 4 Br 3.34
Br2 0.7500 0.7500 0.7500  4 Br 3.34, 4 Ba 3.34
Cl1 0.2500 0.2500 0.2500  4 Br 3.34, 4 Ba 3.34

As for the magnetic moment: 1.08 μB/f.u. Its calculated volume is 114.42 Å³/cell. The density comes out at 4.83 Mg/m³. The total energy comes out at -3.4575 eV per atom. The raw formation energy is -1483 meV/atom.